Entry from Alexandria via LeMat-Bulk: a geometry-optimized Zn2InPb structure (PBE).

Results
Offset from the most stable computed form ... 60 meV/atom
D(E_F) ... 1.6 states/eV/f.u.

```
data_Zn2InPb
_chemical_formula_sum 'Zn6 In3 Pb3'
_symmetry_space_group_name_H-M 'R -3 m'
_symmetry_Int_Tables_number 166
_symmetry_space_group_name_Hall '-R 3 2"'
_cell_length_a 3.5995
_cell_length_b 3.5995
_cell_length_c 25.1444
_cell_angle_alpha 90.00
_cell_angle_beta 90.00
_cell_angle_gamma 120.00
loop_
_atom_site_label
_atom_site_fract_x
_atom_site_fract_y
_atom_site_fract_z
_atom_site_occupancy
Zn1 0.0000 0.0000 0.2477 1
In1 0.0000 0.0000 0.5000 1
Pb1 0.0000 0.0000 0.0000 1
```

---

Entry from Alexandria via LeMat-Bulk: a geometry-optimized ZnIn12Pb2 structure (PBE).

Results
Calculated total energy ... -0.1976 Ry per atom
D(E_F) ... 6.3 states/eV/f.u.

```
data_ZnIn12Pb2
_chemical_formula_sum 'Zn2 In24 Pb4'
_symmetry_space_group_name_H-M 'P 4/n b m'
_symmetry_Int_Tables_number 125
_cell_length_a 6.483
_cell_length_b 6.483
_cell_length_c 20.132
_cell_angle_alpha 90.00
_cell_angle_beta 90.00
_cell_angle_gamma 90.00
loop_
_symmetry_equiv_pos_as_xyz
'x,y,z'
'-x,-y,-z'
'-y+1/2,x,z'
'y+1/2,-x,-z'
'-x+1/2,-y+1/2,z'
'x+1/2,y+1/2,-z'
'y,-x+1/2,z'
'-y,x+1/2,-z'
'x,-y+1/2,-z'
'-x,y+1/2,z'
'-y+1/2,-x+1/2,-z'
'y+1/2,x+1/2,z'
'-x+1/2,y,-z'
'x+1/2,-y,z'
'y,x,-z'
'-y,-x,z'
loop_
_atom_site_label
_atom_site_fract_x
_atom_site_fract_y
_atom_site_fract_z
_atom_site_occupancy
Zn1 0.250 0.750 0.000 1
In1 0.001 0.501 0.087 1
In2 0.078 0.578 0.570 1
In3 0.250 0.250 0.189 1
In4 0.250 0.250 0.332 1
Pb1 0.250 0.750 0.262 1
```

---

Entry from Alexandria via LeMat-Bulk: a geometry-optimized Zn2InPb structure (PBE).

Results
Offset from the most stable computed form ... 76 meV/atom
D(E_F) ... 2.0 states/eV/f.u.

```
data_Zn2InPb
_chemical_formula_sum 'Zn4 In2 Pb2'
_symmetry_space_group_name_H-M 'C m m m'
_symmetry_Int_Tables_number 65
_symmetry_space_group_name_Hall '-C 2 2'
_cell_length_a 6.622
_cell_length_b 8.135
_cell_length_c 3.398
_cell_angle_alpha 90.00
_cell_angle_beta 90.00
_cell_angle_gamma 90.00
loop_
_atom_site_label
_atom_site_fract_x
_atom_site_fract_y
_atom_site_fract_z
_atom_site_occupancy
Zn1 0.250 0.250 0.000 1
In1 0.000 0.000 0.500 1
Pb1 0.000 0.500 0.500 1
```

---

Entry from Alexandria via LeMat-Bulk: a geometry-optimized Zn3In12Pb5 structure (PBE).

Results
Calculated total energy ... -0.1884 Ry per atom
D(E_F) ... 10.8 states/eV/f.u.

```
data_Zn3In12Pb5
_chemical_formula_sum 'Zn24 In96 Pb40'
_symmetry_space_group_name_H-M 'I a -3 d'
_symmetry_Int_Tables_number 230
_symmetry_space_group_name_Hall '-I 4bd 2c 3'
_cell_length_a 17.161
_cell_length_b 17.161
_cell_length_c 17.161
_cell_angle_alpha 90.00
_cell_angle_beta 90.00
_cell_angle_gamma 90.00
loop_
_atom_site_label
_atom_site_fract_x
_atom_site_fract_y
_atom_site_fract_z
_atom_site_occupancy
Zn1 0.000 0.250 0.125 1
In1 0.021 0.095 0.651 1
Pb1 0.000 0.000 0.000 1
Pb2 0.000 0.250 0.375 1
```

---

Entry from Alexandria via LeMat-Bulk: a geometry-optimized ZnIn14Pb structure (PBE).

Results
Calculated total energy ... -0.1963 Ry per atom
D(E_F) ... 8.0 states/eV/f.u.

```
data_ZnIn14Pb
_chemical_formula_sum 'Zn1 In14 Pb1'
_symmetry_space_group_name_H-M 'P 4/m m m'
_symmetry_Int_Tables_number 123
_symmetry_space_group_name_Hall '-P 4 2'
_cell_length_a 7.127
_cell_length_b 7.127
_cell_length_c 8.474
_cell_angle_alpha 90.00
_cell_angle_beta 90.00
_cell_angle_gamma 90.00
loop_
_atom_site_label
_atom_site_fract_x
_atom_site_fract_y
_atom_site_fract_z
_atom_site_occupancy
Zn1 0.000 0.000 0.000 1
In1 0.000 0.000 0.500 1
In2 0.000 0.500 0.000 1
In3 0.000 0.500 0.500 1
In4 0.240 0.240 0.246 1
In5 0.500 0.500 0.500 1
Pb1 0.500 0.500 0.000 1
```

---

Entry from Alexandria via LeMat-Bulk: a geometry-optimized Zn2InPb structure (PBE).

Results
Offset from the most stable computed form ... 52 meV/atom
D(E_F) ... 1.2 states/eV/f.u.

```
data_Zn2InPb
_chemical_formula_sum 'Zn2 In1 Pb1'
_symmetry_space_group_name_H-M 'P 1 2/m 1'
_symmetry_Int_Tables_number 10
_symmetry_space_group_name_Hall '-P 2y'
_cell_length_a 3.390
_cell_length_b 3.990
_cell_length_c 6.826
_cell_angle_alpha 90.00
_cell_angle_beta 96.35
_cell_angle_gamma 90.00
loop_
_atom_site_label
_atom_site_fract_x
_atom_site_fract_y
_atom_site_fract_z
_atom_site_occupancy
Zn1 0.028 0.000 0.215 1
In1 0.500 0.500 0.000 1
Pb1 0.500 0.500 0.500 1
```

---

Entry from Alexandria via LeMat-Bulk: a geometry-optimized Zn2InPb2 structure (PBE).

Results
Offset from the most stable computed form ... 111 meV/atom
D(E_F) ... 2.2 states/eV/f.u.

```
data_Zn2InPb2
_chemical_formula_sum 'Zn4 In2 Pb4'
_symmetry_space_group_name_H-M 'P 4/m b m'
_symmetry_Int_Tables_number 127
_symmetry_space_group_name_Hall '-P 4 2ab'
_cell_length_a 8.533
_cell_length_b 8.533
_cell_length_c 3.553
_cell_angle_alpha 90.00
_cell_angle_beta 90.00
_cell_angle_gamma 90.00
loop_
_atom_site_label
_atom_site_fract_x
_atom_site_fract_y
_atom_site_fract_z
_atom_site_occupancy
Zn1 0.156 0.344 0.000 1
In1 0.000 0.000 0.500 1
Pb1 0.144 0.644 0.500 1
```

---

Entry from Alexandria via LeMat-Bulk: a geometry-optimized ZnIn2Pb structure (PBE).

Results
Calculated total energy ... -0.1868 Ry per atom
D(E_F) ... 1.4 states/eV/f.u.

```
data_ZnIn2Pb
_chemical_formula_sum 'Zn2 In4 Pb2'
_symmetry_space_group_name_H-M 'C m m 2'
_symmetry_Int_Tables_number 35
_symmetry_space_group_name_Hall 'C 2 -2'
_cell_length_a 4.731
_cell_length_b 4.893
_cell_length_c 8.885
_cell_angle_alpha 90.00
_cell_angle_beta 90.00
_cell_angle_gamma 90.00
loop_
_atom_site_label
_atom_site_fract_x
_atom_site_fract_y
_atom_site_fract_z
_atom_site_occupancy
Zn1 0.000 0.000 0.000 1
In1 0.000 0.000 0.519 1
In2 0.000 0.500 0.792 1
Pb1 0.000 0.500 0.229 1
```

---

Entry from Alexandria via LeMat-Bulk: a geometry-optimized Zn5In12Pb3 structure (PBE).

Results
Calculated total energy ... -0.1720 Ry per atom
D(E_F) ... 5.2 states/eV/f.u.

```
data_Zn5In12Pb3
_chemical_formula_sum 'Zn40 In96 Pb24'
_symmetry_space_group_name_H-M 'I a -3 d'
_symmetry_Int_Tables_number 230
_symmetry_space_group_name_Hall '-I 4bd 2c 3'
_cell_length_a 16.917
_cell_length_b 16.917
_cell_length_c 16.917
_cell_angle_alpha 90.00
_cell_angle_beta 90.00
_cell_angle_gamma 90.00
loop_
_atom_site_label
_atom_site_fract_x
_atom_site_fract_y
_atom_site_fract_z
_atom_site_occupancy
Zn1 0.000 0.000 0.000 1
Zn2 0.000 0.250 0.375 1
In1 0.024 0.068 0.647 1
Pb1 0.000 0.250 0.125 1
```

---

Entry from Alexandria via LeMat-Bulk: a geometry-optimized ZnIn2Pb structure (PBE).

Results
Calculated total energy ... -0.1843 Ry per atom
D(E_F) ... 1.6 states/eV/f.u.

```
data_ZnIn2Pb
_chemical_formula_sum 'Zn2 In4 Pb2'
_symmetry_space_group_name_H-M 'I 4/m m m'
_symmetry_Int_Tables_number 139
_symmetry_space_group_name_Hall '-I 4 2'
_cell_length_a 4.497
_cell_length_b 4.497
_cell_length_c 10.207
_cell_angle_alpha 90.00
_cell_angle_beta 90.00
_cell_angle_gamma 90.00
loop_
_atom_site_label
_atom_site_fract_x
_atom_site_fract_y
_atom_site_fract_z
_atom_site_occupancy
Zn1 0.000 0.000 0.000 1
In1 0.000 0.500 0.250 1
Pb1 0.000 0.000 0.500 1
```

---

Entry from Alexandria via LeMat-Bulk: a geometry-optimized ZnIn2Pb structure (PBE).

Results
Calculated total energy ... -0.1857 Ry per atom
D(E_F) ... 1.3 states/eV/f.u.

```
data_ZnIn2Pb
_chemical_formula_sum 'Zn1 In2 Pb1'
_symmetry_space_group_name_H-M 'P 1 m 1'
_symmetry_Int_Tables_number 6
_symmetry_space_group_name_Hall 'P -2y'
_cell_length_a 3.546
_cell_length_b 4.418
_cell_length_c 6.712
_cell_angle_alpha 90.00
_cell_angle_beta 100.23
_cell_angle_gamma 90.00
loop_
_atom_site_label
_atom_site_fract_x
_atom_site_fract_y
_atom_site_fract_z
_atom_site_occupancy
Zn1 0.000 0.000 0.000 1
In1 0.315 0.500 0.256 1
In2 0.895 0.000 0.497 1
Pb1 0.478 0.500 0.789 1
```

---

Entry from Alexandria via LeMat-Bulk: a geometry-optimized Zn2InPb structure (PBE).

Results
Offset from the most stable computed form ... 100 meV/atom
D(E_F) ... 1.7 states/eV/f.u.

```
data_Zn2InPb
_chemical_formula_sum 'Zn8 In4 Pb4'
_symmetry_space_group_name_H-M 'I -4 2 d'
_symmetry_Int_Tables_number 122
_symmetry_space_group_name_Hall 'I -4 2bw'
_cell_length_a 4.676
_cell_length_b 4.676
_cell_length_c 18.284
_cell_angle_alpha 90.00
_cell_angle_beta 90.00
_cell_angle_gamma 90.00
loop_
_atom_site_label
_atom_site_fract_x
_atom_site_fract_y
_atom_site_fract_z
_atom_site_occupancy
Zn1 0.195 0.250 0.125 1
In1 0.000 0.000 0.000 1
Pb1 0.000 0.000 0.500 1
```

---

Q: Which value of D(E_F) does entry 9 give?
A: 5.2 states/eV/f.u.

---

Q: Number 1 is which compound?
A: Zn2InPb